1.
The following is a DFT calculation (PBE-GGA) of crystalline LiFe2 at its relaxed geometry.

As for the symmetry: Pa-3 (205). The value obtained for the energy relative to the elements is 0.961 eV per atom. As for the final energy: -63.8 eV for the cell shown.

Cell lengths 5.2866, 5.2866, 5.2866 Å; angles 90.00, 90.00, 90.00 degrees
Closest atoms and distances in Å follow each position.
Atoms (fractional coordinates):
Fe  0.3628  0.3628  0.6372  3 Li 2.17
Fe  0.3628  0.1372  0.1372  3 Li 2.17
Li  0.0000  0.0000  0.0000  6 Fe 2.17
Li  0.5000  0.5000  0.0000  6 Fe 2.17
Fe  0.1372  0.8628  0.6372  3 Li 2.17
Li  0.5000  0.0000  0.5000  6 Fe 2.17
Fe  0.6372  0.6372  0.3628  3 Li 2.17
Fe  0.1372  0.6372  0.1372  3 Li 2.17
Fe  0.8628  0.1372  0.3628  3 Li 2.17
Fe  0.8628  0.3628  0.8628  3 Li 2.17
Li  0.0000  0.5000  0.5000  6 Fe 2.17
Fe  0.6372  0.8628  0.8628  3 Li 2.17

***

2.
The following is a DFT calculation (PBE-GGA) of crystalline LiFe4 at its relaxed geometry.

As for the symmetry: Im-3m (229). The value obtained for the energy relative to the elements is 0.996 eV per atom. As for the final energy: -30.8 eV for the cell shown. As for the energy above the lowest structure with this stoichiometry: 0.7746 eV/atom.

Cell lengths 4.4519, 4.4519, 4.4519 Å; angles 109.47, 109.47, 109.47 degrees
Closest atoms and distances in Å follow each position.
Atoms (fractional coordinates):
Li  0.0000  0.0000  0.0000  8 Fe 2.23
Fe  0.0000  0.5000  0.0000  2 Li 2.23
Fe  0.5000  0.5000  0.5000  2 Li 2.23
Fe  0.0000  0.0000  0.5000  2 Li 2.23
Fe  0.5000  0.0000  0.0000  2 Li 2.23

***

3.
The following is a DFT calculation (PBE-GGA) of crystalline Li2Fe at its relaxed geometry.

As for the symmetry: Pnma (62). The value obtained for the energy relative to the elements is 0.327 eV per atom. As for the final energy: -45.2 eV for the cell shown.

Cell lengths 4.1957, 5.3241, 7.7428 Å; angles 90.00, 90.00, 90.00 degrees
Closest atoms and distances in Å follow each position.
Atoms (fractional coordinates):
Li  0.7500  0.9522  0.6070  3 Fe 2.62-2.79, 7 Li 2.69-2.83
Li  0.2500  0.5478  0.1070  3 Fe 2.62-2.79, 7 Li 2.69-2.83
Li  0.2500  0.2311  0.7365  4 Fe 2.61-2.87, 7 Li 2.67-2.83
Li  0.2500  0.0478  0.3930  3 Fe 2.62-2.79, 7 Li 2.69-2.83
Fe  0.2500  0.0311  0.0439  2 Fe 2.23
Li  0.7500  0.2689  0.2365  4 Fe 2.61-2.87, 7 Li 2.67-2.83
Fe  0.2500  0.5311  0.4561  2 Fe 2.23
Fe  0.7500  0.4689  0.5439  2 Fe 2.23
Fe  0.7500  0.9689  0.9561  2 Fe 2.23
Li  0.7500  0.7689  0.2635  4 Fe 2.61-2.87, 7 Li 2.67-2.83
Li  0.7500  0.4522  0.8930  3 Fe 2.62-2.79, 7 Li 2.69-2.83
Li  0.2500  0.7311  0.7635  4 Fe 2.61-2.87, 7 Li 2.67-2.83

***

Q: What is the formula in the second record?
A: LiFe4